# 1
A plane-wave DFT calculation with GGA-PBEsol was carried out for a geometry-optimized Be2HgN structure.

excess energy over the best structure of this formula in the dataset = 0.000 eV/atom

Cell lengths 5.162, 5.162, 5.162 Å; angles 120.07, 120.07, 89.87 degrees
Element x y z (fractional)
Be 0.375 0.207 0.332
Be 0.793 0.125 0.168
Be 0.875 0.043 0.668
Be 0.957 0.625 0.832
Hg 0.250 0.750 0.500
Hg 0.500 0.500 0.000
N 0.000 0.000 0.000
N 0.750 0.250 0.500

# 2
A plane-wave DFT calculation with GGA-PBEsol was carried out for a geometry-optimized Be2HgN structure.

excess energy over the best structure of this formula in the dataset = 1.391 eV/atom

Cell lengths 4.011, 4.011, 4.011 Å; angles 60.00, 60.00, 60.00 degrees
Element x y z (fractional)
Be 0.250 0.250 0.250
Be 0.750 0.750 0.750
Hg 0.000 0.000 0.000
N 0.500 0.500 0.500

# 3
A plane-wave DFT calculation with GGA-PBEsol was carried out for a geometry-optimized BeHgPd2N structure.

VASP energy = -3.851 eV per atom

Cell lengths 4.124, 4.124, 4.447 Å; angles 90.00, 90.00, 90.00 degrees
Element x y z (fractional)
Be 0.000 0.000 0.000
Hg 0.000 0.000 0.500
Pd 0.000 0.500 0.000
Pd 0.500 0.000 0.000
N 0.500 0.500 0.500

# 4
A plane-wave DFT calculation with GGA-PBEsol was carried out for a geometry-optimized TaBe2HgN structure.

VASP energy = -4.959 eV per atom

Cell lengths 4.780, 4.780, 3.903 Å; angles 90.00, 90.00, 90.00 degrees
Element x y z (fractional)
Ta 0.000 0.000 0.000
Be 0.000 0.500 0.000
Be 0.500 0.000 0.000
Hg 0.500 0.500 0.500
N 0.000 0.000 0.500

# 5
A plane-wave DFT calculation with GGA-PBEsol was carried out for a geometry-optimized NaBeHg2 structure.

calculated formation energy = 1.09 eV/f.u.

Cell lengths 8.408, 8.408, 8.408 Å; angles 142.52, 142.52, 54.05 degrees
Element x y z (fractional)
Na 0.000 0.000 0.000
Na 0.750 0.250 0.500
Be 0.250 0.750 0.500
Be 0.500 0.500 0.000
Hg 0.285 0.625 0.160
Hg 0.375 0.535 0.660
Hg 0.465 0.125 0.840
Hg 0.875 0.715 0.340

# 6
A plane-wave DFT calculation with GGA-PBEsol was carried out for a geometry-optimized NaBe2SnHg structure.

calculated formation energy = 7.06 eV/f.u.

Cell lengths 4.666, 4.666, 5.386 Å; angles 90.00, 90.00, 90.00 degrees
Element x y z (fractional)
Na 0.000 0.000 0.000
Be 0.000 0.500 0.000
Be 0.500 0.000 0.000
Sn 0.000 0.000 0.500
Hg 0.500 0.500 0.500

# 7
A plane-wave DFT calculation with GGA-PBEsol was carried out for a geometry-optimized Be3NbHg structure.

calculated formation energy = 5.32 eV/f.u.

Cell lengths 4.244, 4.244, 4.244 Å; angles 90.00, 90.00, 90.00 degrees
Element x y z (fractional)
Be 0.000 0.000 0.500
Be 0.000 0.500 0.000
Be 0.500 0.000 0.000
Nb 0.500 0.500 0.500
Hg 0.000 0.000 0.000

# 8
A plane-wave DFT calculation with GGA-PBEsol was carried out for a geometry-optimized BeNbHg3 structure.

calculated formation energy = 3.38 eV/f.u.

Cell lengths 4.538, 4.538, 4.538 Å; angles 90.00, 90.00, 90.00 degrees
Element x y z (fractional)
Be 0.000 0.000 0.000
Nb 0.500 0.500 0.500
Hg 0.000 0.000 0.500
Hg 0.000 0.500 0.000
Hg 0.500 0.000 0.000